This record from Alexandria describes crystalline TeWI2O at its relaxed geometry. The functional is GGA+U.

Output
The density of states at the Fermi level is 14.365 states/eV/cell. The calculation puts the electronic total energy at -2.44 eV/atom.

The structure in POSCAR format:
```
TeWI2O
1.0
-1.996 -5.085 0.790
4.365 -1.224 3.148
-2.598 1.680 4.256
I Te O W
2 1 1 1
Direct
0.000 0.500 0.000 I
0.500 0.000 0.000 I
0.000 0.000 0.500 Te
0.500 0.500 0.500 O
0.000 0.000 0.000 W
```